1.
MnTlSnCl6 | PBE | optimized geometry

Computed properties:
N(E_F)	1.7	states/eV/cell
total magnetization	3.96	Bohr magnetons per cell
calculated total energy	-3.95	eV/atom
E_form (uncorrected)	-96.1	kJ/mol of atoms
crystal system	trigonal

a b c (Å): 6.7924 6.7924 7.0096
angles (deg): 90.00 90.00 120.00
Space group P312 (No. 149)
Inequivalent atoms, fractional coordinates:
Mn1 0.0000 0.0000 0.0000
Tl1 0.6667 0.3333 0.5000
Sn1 0.3333 0.6667 0.0000
Cl1 0.0324 0.3200 0.7913

2.
Hf2ScZnRh4 | PBE | optimized geometry

Computed properties:
formation energy	-20.700	kcal/mol of atoms
N(E_F)	13.8	states/eV/cell
total magnetization	0.00	Bohr magnetons per cell
calculated total energy	-8.01	eV/atom
crystal system	trigonal

a b c (Å): 4.5178 4.5178 22.1741
angles (deg): 90.00 90.00 120.00
Space group R-3m (No. 166, hexagonal axes)
Inequivalent atoms, fractional coordinates:
Hf1 0.0000 0.0000 0.2450
Sc1 0.0000 0.0000 0.0000
Zn1 0.0000 0.0000 0.5000
Rh1 0.0000 0.0000 0.1232
Rh2 0.0000 0.0000 0.3743

3.
ThTiCu4 | PBE | optimized geometry

Computed properties:
formation energy	-0.543	kcal/mol of atoms
N(E_F)	27.1	states/eV/cell
total magnetization	0.01	Bohr magnetons per cell
calculated total energy	-5.31	eV/atom
crystal system	cubic

a b c (Å): 7.254 7.254 7.254
angles (deg): 90.00 90.00 90.00
Space group F-43m (No. 216)
Inequivalent atoms, fractional coordinates:
Th1 0.000 0.000 0.000
Ti1 0.250 0.250 0.750
Cu1 0.123 0.123 0.377

4.
AlBSbTe2 | PBE | optimized geometry

Computed properties:
N(E_F)	3.1	states/eV/cell
total magnetization	0.00	Bohr magnetons per cell
calculated total energy	-3.47	eV/atom
E_form (uncorrected)	67.5	kJ/mol of atoms
crystal system	tetragonal

a b c (Å): 4.912 4.912 4.843
angles (deg): 90.00 90.00 90.00
Space group P4/mmm (No. 123)
Inequivalent atoms, fractional coordinates:
Al1 0.000 0.000 0.000
B1 0.500 0.500 0.500
Sb1 0.500 0.500 0.000
Te1 0.000 0.500 0.500